Here is a relaxed structure of Y4HoAg5 from the Open Quantum Materials Database. Energies are from GGA-PBE.

The calculation puts the formation energy at -3.41 eV/f.u.

The structure belongs to space group P4/mmm (No. 123); the cell edges are 3.619, 3.619 and 18.196 Å and the angles 90.00°, 90.00° and 90.00°. Symmetry generates all atoms from Y at (0.000, 0.000, 0.100), Y at (0.000, 0.000, 0.301), Ho at (0.000, 0.000, 0.500), Ag at (0.500, 0.500, 0.000), Ag at (0.500, 0.500, 0.200) and Ag at (0.500, 0.500, 0.402).



Here is a relaxed structure of Y2HoAg3 from the Open Quantum Materials Database. Energies are from GGA-PBE.

The calculation puts the formation energy at -2.05 eV/f.u.

The structure belongs to space group P4/mmm (No. 123); the cell edges are 3.610, 3.610 and 10.939 Å and the angles 90.00°, 90.00° and 90.00°. Symmetry generates all atoms from Y at (0.000, 0.000, 0.167), Ho at (0.000, 0.000, 0.500), Ag at (0.500, 0.500, 0.000) and Ag at (0.500, 0.500, 0.336).



Here is a relaxed structure of YHoAg from the Open Quantum Materials Database. Energies are from GGA-PBE.

The calculation puts the formation energy at 1.80 eV/f.u.

The structure belongs to space group F-43m (No. 216); the cell edges are 6.948, 6.948 and 6.948 Å and the angles 90.00°, 90.00° and 90.00°. Symmetry generates all atoms from Y at (0.000, 0.000, 0.000), Ho at (0.250, 0.250, 0.250) and Ag at (0.250, 0.250, 0.750).



Here is a relaxed structure of HoZnAg from the Open Quantum Materials Database. Energies are from GGA-PBE.

The calculation puts the formation energy at 0.54 eV/f.u.

The structure belongs to space group F-43m (No. 216); the cell edges are 6.736, 6.736 and 6.736 Å and the angles 90.00°, 90.00° and 90.00°. Symmetry generates all atoms from Ho at (0.000, 0.000, 0.000), Zn at (0.250, 0.250, 0.250) and Ag at (0.250, 0.250, 0.750).



Here is a relaxed structure of HoZn6Ag6 from the Open Quantum Materials Database. Energies are from GGA-PBE.

The calculation puts the formation energy at -2.14 eV/f.u.

The structure belongs to space group Immm (No. 71); the cell edges are 5.165, 9.241 and 9.319 Å and the angles 90.00°, 90.00° and 90.00°. Symmetry generates all atoms from Ho at (0.000, 0.000, 0.000), Zn at (0.000, 0.500, 0.273), Zn at (0.250, 0.250, 0.250), Ag at (0.000, 0.000, 0.346), Ag at (0.000, 0.306, 0.500) and Ag at (0.000, 0.347, 0.000).



Here is a relaxed structure of Ho5ZnAg4 from the Open Quantum Materials Database. Energies are from GGA-PBE.

The calculation puts the formation energy at -3.47 eV/f.u.

The structure belongs to space group P4/mmm (No. 123); the cell edges are 3.610, 3.610 and 18.008 Å and the angles 90.00°, 90.00° and 90.00°. Symmetry generates all atoms from Ho at (0.000, 0.000, 0.000), Ho at (0.000, 0.000, 0.202), Ho at (0.000, 0.000, 0.404), Zn at (0.500, 0.500, 0.500), Ag at (0.500, 0.500, 0.101) and Ag at (0.500, 0.500, 0.304).



Here is a relaxed structure of Ho2Zn15Ag2 from the Open Quantum Materials Database. Energies are from GGA-PBE.

The calculation puts the formation energy at -4.31 eV/f.u.

The structure belongs to space group R-3m (No. 166, hexagonal axes); the cell edges are 9.0080, 9.0080 and 13.1502 Å and the angles 90.00°, 90.00° and 120.00°. Symmetry generates all atoms from Ho at (0.0000, 0.0000, 0.1587), Zn at (0.0000, 0.2983, 0.5000), Zn at (0.0000, 0.5000, 0.0000), Zn at (0.0112, 0.5056, 0.6520) and Ag at (0.0000, 0.0000, 0.3926).



Here is a relaxed structure of HoZnAg from the Open Quantum Materials Database. Energies are from GGA-PBE.

The calculation puts the formation energy at -0.25 eV/f.u.

The structure belongs to space group F-43m (No. 216); the cell edges are 6.511, 6.511 and 6.511 Å and the angles 90.00°, 90.00° and 90.00°. Symmetry generates all atoms from Ho at (0.000, 0.000, 0.000), Zn at (0.250, 0.250, 0.750) and Ag at (0.000, 0.000, 0.500).



What V values result from the calculations? In sequence: 23.83, 23.76, 27.95, 25.47, 17.11, 23.47, 16.21, 23.00 A^3/atom.